1.
Material: HfUPt
Method: DFT, PBE-GGA
State: relaxed

Structure (POSCAR):
```
HfUPt
1.0
0.000 3.271 3.271
3.271 0.000 3.271
3.271 3.271 0.000
Hf U Pt
1 1 1
Direct
0.000 0.000 0.000
0.250 0.250 0.250
0.500 0.500 0.500
```

Properties
The symmetry is F-43m. As for the excess energy over the best structure of this formula in the dataset: 0.471 eV per atom. The magnetization comes out at 2.3 μB per formula unit.

2.
Material: HfPtW
Method: DFT, PBE-GGA
State: relaxed

Structure (POSCAR):
```
HfPtW
1.0
0.000 3.123 3.123
3.123 0.000 3.123
3.123 3.123 0.000
Hf Pt W
1 1 1
Direct
0.000 0.000 0.000
0.250 0.250 0.250
0.500 0.500 0.500
```

Properties
The symmetry is F-43m. As for the excess energy over the best structure of this formula in the dataset: 0.000 eV per atom. The magnetization comes out at 0.0 μB per formula unit.

3.
Material: YHfPt2
Method: DFT, PBE-GGA
State: relaxed

Structure (POSCAR):
```
YHfPt2
1.0
0.000 3.329 3.329
3.329 0.000 3.329
3.329 3.329 0.000
Y Hf Pt
1 1 2
Direct
0.000 0.000 0.000
0.250 0.250 0.250
0.500 0.500 0.500
0.750 0.750 0.750
```

Properties
The symmetry is F-43m. The magnetization comes out at 0.0 μB per formula unit.

4.
Material: HfZnPt
Method: DFT, PBE-GGA
State: relaxed

Structure (POSCAR):
```
HfZnPt
1.0
0.000 3.130 3.130
3.130 0.000 3.130
3.130 3.130 0.000
Hf Zn Pt
1 1 1
Direct
0.000 0.000 0.000
0.250 0.250 0.250
0.750 0.750 0.750
```

Properties
The symmetry is F-43m. The magnetization comes out at 0.0 μB per formula unit.

5.
Material: HfZnPt
Method: DFT, PBE-GGA
State: relaxed

Structure (POSCAR):
```
HfZnPt
1.0
3.388 0.000 0.000
0.000 3.388 0.000
0.000 0.000 8.850
Hf Zn Pt
2 2 2
Direct
0.000 0.000 0.000
0.500 0.500 0.500
0.000 0.000 0.324
0.000 0.000 0.676
0.500 0.500 0.172
0.500 0.500 0.828
```

Properties
The symmetry is P4/mmm. The magnetization comes out at 0.0 μB per formula unit.

6.
Material: HfZnPt
Method: DFT, PBE-GGA
State: relaxed

Structure (POSCAR):
```
HfZnPt
1.0
3.548 0.000 0.000
0.000 3.548 0.000
0.000 0.000 8.497
Hf Zn Pt
2 2 2
Direct
0.250 0.250 0.230
0.750 0.750 0.770
0.250 0.250 0.568
0.750 0.750 0.432
0.250 0.250 0.897
0.750 0.750 0.103
```

Properties
The symmetry is P4/nmm. The magnetization comes out at 0.0 μB per formula unit.

no.,E_form (eV/f.u.),uncorrected energy (eV per atom)
1,1.18,-8.709
2,0.61,-9.453
3,-2.74,-7.818
4,-0.64,-5.971
5,-2.12,-6.467
6,-1.93,-6.403